TaCu2Ir | PBE | optimized geometry

a = 6.121 Å, b = 6.121 Å, c = 6.121 Å
α = 90.00°, β = 90.00°, γ = 90.00°
Positions (direct):
Ta 0.000 0.000 0.000
Ta 0.000 0.500 0.500
Ta 0.500 0.000 0.500
Ta 0.500 0.500 0.000
Cu 0.000 0.000 0.500
Cu 0.000 0.500 0.000
Cu 0.250 0.250 0.750
Cu 0.250 0.750 0.250
Cu 0.500 0.000 0.000
Cu 0.500 0.500 0.500
Cu 0.750 0.250 0.250
Cu 0.750 0.750 0.750
Ir 0.250 0.250 0.250
Ir 0.250 0.750 0.750
Ir 0.750 0.250 0.750
Ir 0.750 0.750 0.250

Results
crystal system = cubic
formation enthalpy at 0 K = -0.105 eV per atom
E = -114.25 eV for the cell shown


NdMgAgTe2S | PBE | optimized geometry

a = 7.270 Å, b = 7.270 Å, c = 10.962 Å
α = 90.00°, β = 90.00°, γ = 146.85°
Positions (direct):
Nd 0.000 0.000 0.000
Nd 0.000 0.000 0.500
Mg 0.273 0.727 0.750
Mg 0.727 0.273 0.250
Ag 0.486 0.514 0.250
Ag 0.514 0.486 0.750
Te 0.341 0.659 0.076
Te 0.341 0.659 0.424
Te 0.659 0.341 0.576
Te 0.659 0.341 0.924
S 0.102 0.898 0.250
S 0.898 0.102 0.750

Results
crystal system = orthorhombic
E = -49.48 eV for the cell shown


LuCdCuSb | PBE | optimized geometry

a = 7.043 Å, b = 7.043 Å, c = 7.043 Å
α = 90.00°, β = 90.00°, γ = 90.00°
Positions (direct):
Lu 0.000 0.000 0.000
Lu 0.000 0.500 0.500
Lu 0.500 0.000 0.500
Lu 0.500 0.500 0.000
Cd 0.250 0.250 0.750
Cd 0.250 0.750 0.250
Cd 0.750 0.250 0.250
Cd 0.750 0.750 0.750
Cu 0.000 0.000 0.500
Cu 0.000 0.500 0.000
Cu 0.500 0.000 0.000
Cu 0.500 0.500 0.500
Sb 0.250 0.250 0.250
Sb 0.250 0.750 0.750
Sb 0.750 0.250 0.750
Sb 0.750 0.750 0.250

Results
crystal system = cubic
E = -54.34 eV for the cell shown
ΔE to the lowest computed polymorph = 0.0000 eV per atom


Na2Sc2AlGaPt2 | PBE | optimized geometry

a = 4.625 Å, b = 4.625 Å, c = 6.554 Å
α = 90.00°, β = 90.00°, γ = 90.00°
Positions (direct):
Na 0.000 0.500 0.247
Na 0.500 0.000 0.753
Sc 0.000 0.000 0.000
Sc 0.500 0.500 0.500
Al 0.000 0.000 0.500
Ga 0.500 0.500 0.000
Pt 0.000 0.500 0.743
Pt 0.500 0.000 0.257

Results
crystal system = tetragonal
E = -38.58 eV for the cell shown


YBeSbOs | PBE | optimized geometry

a = 6.669 Å, b = 6.669 Å, c = 6.669 Å
α = 90.00°, β = 90.00°, γ = 90.00°
Positions (direct):
Y 0.000 0.000 0.000
Y 0.000 0.500 0.500
Y 0.500 0.000 0.500
Y 0.500 0.500 0.000
Be 0.000 0.000 0.500
Be 0.000 0.500 0.000
Be 0.500 0.000 0.000
Be 0.500 0.500 0.500
Sb 0.250 0.250 0.250
Sb 0.250 0.750 0.750
Sb 0.750 0.250 0.750
Sb 0.750 0.750 0.250
Os 0.250 0.250 0.750
Os 0.250 0.750 0.250
Os 0.750 0.250 0.250
Os 0.750 0.750 0.750

Results
crystal system = cubic
E = -96.04 eV for the cell shown
ΔE to the lowest computed polymorph = 0.3174 eV per atom


NbTlZnNi | PBE | optimized geometry

a = 6.442 Å, b = 6.442 Å, c = 6.442 Å
α = 90.00°, β = 90.00°, γ = 90.00°
Positions (direct):
Nb 0.000 0.000 0.000
Nb 0.000 0.500 0.500
Nb 0.500 0.000 0.500
Nb 0.500 0.500 0.000
Tl 0.250 0.250 0.250
Tl 0.250 0.750 0.750
Tl 0.750 0.250 0.750
Tl 0.750 0.750 0.250
Zn 0.250 0.250 0.750
Zn 0.250 0.750 0.250
Zn 0.750 0.250 0.250
Zn 0.750 0.750 0.750
Ni 0.000 0.000 0.500
Ni 0.000 0.500 0.000
Ni 0.500 0.000 0.000
Ni 0.500 0.500 0.500

Results
crystal system = cubic
E = -70.94 eV for the cell shown


Li2ScCd | PBE | optimized geometry

a = 6.727 Å, b = 6.727 Å, c = 6.727 Å
α = 90.00°, β = 90.00°, γ = 90.00°
Positions (direct):
Li 0.000 0.000 0.000
Li 0.000 0.500 0.500
Li 0.250 0.250 0.250
Li 0.250 0.750 0.750
Li 0.500 0.000 0.500
Li 0.500 0.500 0.000
Li 0.750 0.250 0.750
Li 0.750 0.750 0.250
Sc 0.000 0.000 0.500
Sc 0.000 0.500 0.000
Sc 0.500 0.000 0.000
Sc 0.500 0.500 0.500
Cd 0.250 0.250 0.750
Cd 0.250 0.750 0.250
Cd 0.750 0.250 0.250
Cd 0.750 0.750 0.750

Results
crystal system = cubic
E = -45.10 eV for the cell shown


NbGaNiHg | PBE | optimized geometry

a = 6.415 Å, b = 6.415 Å, c = 6.415 Å
α = 90.00°, β = 90.00°, γ = 90.00°
Positions (direct):
Nb 0.000 0.000 0.000
Nb 0.000 0.500 0.500
Nb 0.500 0.000 0.500
Nb 0.500 0.500 0.000
Ga 0.000 0.000 0.500
Ga 0.000 0.500 0.000
Ga 0.500 0.000 0.000
Ga 0.500 0.500 0.500
Ni 0.250 0.250 0.750
Ni 0.250 0.750 0.250
Ni 0.750 0.250 0.250
Ni 0.750 0.750 0.750
Hg 0.250 0.250 0.250
Hg 0.250 0.750 0.750
Hg 0.750 0.250 0.750
Hg 0.750 0.750 0.250

Results
crystal system = cubic
E = -71.39 eV for the cell shown
ΔE to the lowest computed polymorph = 0.0835 eV per atom


LuTlCuNi | PBE | optimized geometry

a = 6.609 Å, b = 6.609 Å, c = 6.609 Å
α = 90.00°, β = 90.00°, γ = 90.00°
Positions (direct):
Lu 0.000 0.000 0.000
Lu 0.000 0.500 0.500
Lu 0.500 0.000 0.500
Lu 0.500 0.500 0.000
Tl 0.250 0.250 0.250
Tl 0.250 0.750 0.750
Tl 0.750 0.250 0.750
Tl 0.750 0.750 0.250
Cu 0.000 0.000 0.500
Cu 0.000 0.500 0.000
Cu 0.500 0.000 0.000
Cu 0.500 0.500 0.500
Ni 0.250 0.250 0.750
Ni 0.250 0.750 0.250
Ni 0.750 0.250 0.250
Ni 0.750 0.750 0.750

Results
crystal system = cubic
E = -64.47 eV for the cell shown
ΔE to the lowest computed polymorph = 0.1984 eV per atom


Rb2SrH6Ir | PBE | optimized geometry

a = 6.008 Å, b = 6.008 Å, c = 6.008 Å
α = 60.00°, β = 60.00°, γ = 60.00°
Positions (direct):
Rb 0.250 0.250 0.250
Rb 0.750 0.750 0.750
Sr 0.000 0.000 0.000
H 0.296 0.296 0.704
H 0.296 0.704 0.296
H 0.296 0.704 0.704
H 0.704 0.296 0.296
H 0.704 0.296 0.704
H 0.704 0.704 0.296
Ir 0.500 0.500 0.500

Results
crystal system = cubic
E = -35.08 eV for the cell shown


SmZrAl | PBE | optimized geometry

a = 7.016 Å, b = 7.016 Å, c = 7.016 Å
α = 90.00°, β = 90.00°, γ = 90.00°
Positions (direct):
Sm 0.000 0.000 0.000
Sm 0.000 0.500 0.500
Sm 0.500 0.000 0.500
Sm 0.500 0.500 0.000
Zr 0.250 0.250 0.250
Zr 0.250 0.750 0.750
Zr 0.750 0.250 0.750
Zr 0.750 0.750 0.250
Al 0.250 0.250 0.750
Al 0.250 0.750 0.250
Al 0.750 0.250 0.250
Al 0.750 0.750 0.750

Results
crystal system = cubic
E = -57.94 eV for the cell shown
ΔE to the lowest computed polymorph = 0.2481 eV per atom


CdPb2BrClO2 | PBE | optimized geometry

a = 12.465 Å, b = 3.895 Å, c = 7.841 Å
α = 90.00°, β = 121.67°, γ = 90.00°
Positions (direct):
Cd 0.000 0.000 0.000
Cd 0.500 0.500 0.000
Pb 0.191 0.000 0.775
Pb 0.312 0.500 0.241
Pb 0.691 0.500 0.775
Pb 0.812 0.000 0.241
Br 0.065 0.500 0.316
Br 0.565 0.000 0.316
Cl 0.443 0.000 0.717
Cl 0.943 0.500 0.717
O 0.195 0.000 0.074
O 0.309 0.500 0.940
O 0.695 0.500 0.074
O 0.809 0.000 0.940

Results
crystal system = monoclinic
E = -59.36 eV for the cell shown


KZrAsO | PBE | optimized geometry

a = 3.826 Å, b = 3.826 Å, c = 10.124 Å
α = 90.00°, β = 90.00°, γ = 90.00°
Positions (direct):
K 0.250 0.750 0.000
K 0.750 0.250 0.000
Zr 0.250 0.250 0.387
Zr 0.750 0.750 0.613
As 0.250 0.250 0.755
As 0.750 0.750 0.245
O 0.250 0.750 0.500
O 0.750 0.250 0.500

Results
crystal system = tetragonal
E = -48.38 eV for the cell shown
ΔE to the lowest computed polymorph = 0.3401 eV per atom


Be2As3PW2 | PBE | optimized geometry

a = 11.046 Å, b = 5.628 Å, c = 5.296 Å
α = 90.00°, β = 111.31°, γ = 90.00°
Positions (direct):
Be 0.130 0.000 0.363
Be 0.370 0.500 0.637
Be 0.630 0.500 0.363
Be 0.870 0.000 0.637
As 0.000 0.242 0.500
As 0.231 0.755 0.724
As 0.269 0.255 0.276
As 0.500 0.742 0.500
As 0.731 0.255 0.724
As 0.769 0.755 0.276
P 0.000 0.829 0.000
P 0.500 0.329 0.000
W 0.099 0.483 0.915
W 0.401 0.983 0.085
W 0.599 0.983 0.915
W 0.901 0.483 0.085

Results
crystal system = monoclinic
E = -100.70 eV for the cell shown


SrSbPt2Pb | PBE | optimized geometry

a = 4.806 Å, b = 4.671 Å, c = 10.875 Å
α = 90.00°, β = 92.28°, γ = 90.00°
Positions (direct):
Sr 0.240 0.250 0.239
Sr 0.760 0.750 0.761
Sb 0.299 0.250 0.885
Sb 0.701 0.750 0.115
Pt 0.187 0.750 0.998
Pt 0.266 0.250 0.646
Pt 0.734 0.750 0.354
Pt 0.813 0.250 0.002
Pb 0.248 0.750 0.498
Pb 0.752 0.250 0.502

Results
crystal system = monoclinic
E = -49.98 eV for the cell shown


Mg3Sc3Pt2Au | PBE | optimized geometry

a = 7.314 Å, b = 7.314 Å, c = 3.779 Å
α = 90.00°, β = 90.00°, γ = 120.00°
Positions (direct):
Mg 0.000 0.739 0.000
Mg 0.261 0.261 0.000
Mg 0.739 0.000 0.000
Sc 0.000 0.412 0.500
Sc 0.412 0.000 0.500
Sc 0.588 0.588 0.500
Pt 0.333 0.667 0.000
Pt 0.667 0.333 0.000
Au 0.000 0.000 0.500

Results
crystal system = hexagonal
E = -46.13 eV for the cell shown


HfTlAsO | PBE | optimized geometry

a = 3.847 Å, b = 3.847 Å, c = 10.391 Å
α = 90.00°, β = 90.00°, γ = 90.00°
Positions (direct):
Hf 0.250 0.250 0.105
Hf 0.750 0.750 0.895
Tl 0.250 0.750 0.500
Tl 0.750 0.250 0.500
As 0.250 0.250 0.761
As 0.750 0.750 0.239
O 0.250 0.750 0.000
O 0.750 0.250 0.000

Results
crystal system = tetragonal
E = -52.51 eV for the cell shown
ΔE to the lowest computed polymorph = 0.2110 eV per atom


FeSb3 | PBE | optimized geometry

a = 8.292 Å, b = 8.292 Å, c = 3.294 Å
α = 90.00°, β = 90.00°, γ = 120.00°
Positions (direct):
Fe 0.333 0.667 0.250
Fe 0.667 0.333 0.750
Sb 0.195 0.390 0.750
Sb 0.195 0.805 0.750
Sb 0.390 0.195 0.250
Sb 0.610 0.805 0.750
Sb 0.805 0.195 0.250
Sb 0.805 0.610 0.250

Results
crystal system = hexagonal
E = -39.63 eV for the cell shown
ΔE to the lowest computed polymorph = 0.2434 eV per atom


Tm5Zr3Ni16As12 | PBE | optimized geometry

a = 12.732 Å, b = 12.732 Å, c = 3.895 Å
α = 90.00°, β = 90.00°, γ = 120.00°
Positions (direct):
Tm 0.000 0.182 0.000
Tm 0.182 0.000 0.000
Tm 0.333 0.667 0.500
Tm 0.667 0.333 0.500
Tm 0.818 0.818 0.000
Zr 0.000 0.562 0.500
Zr 0.438 0.438 0.500
Zr 0.562 0.000 0.500
Ni 0.000 0.000 0.500
Ni 0.000 0.724 0.000
Ni 0.121 0.482 0.000
Ni 0.182 0.808 0.500
Ni 0.192 0.374 0.500
Ni 0.276 0.276 0.000
Ni 0.360 0.879 0.000
Ni 0.374 0.192 0.500
Ni 0.482 0.121 0.000
Ni 0.518 0.640 0.000
Ni 0.626 0.818 0.500
Ni 0.640 0.518 0.000
Ni 0.724 0.000 0.000
Ni 0.808 0.182 0.500
Ni 0.818 0.626 0.500
Ni 0.879 0.360 0.000
As 0.000 0.354 0.500
As 0.000 0.823 0.500
As 0.173 0.692 0.000
As 0.177 0.177 0.500
As 0.308 0.481 0.000
As 0.354 0.000 0.500
As 0.481 0.308 0.000
As 0.519 0.827 0.000
As 0.646 0.646 0.500
As 0.692 0.173 0.000
As 0.823 0.000 0.500
As 0.827 0.519 0.000

Results
crystal system = hexagonal
E = -222.74 eV for the cell shown


Y2ErCoNi8 | PBE | optimized geometry

a = 8.589 Å, b = 8.589 Å, c = 8.589 Å
α = 33.30°, β = 33.30°, γ = 33.30°
Positions (direct):
Y 0.139 0.139 0.139
Y 0.861 0.861 0.861
Er 0.000 0.000 0.000
Co 0.500 0.500 0.500
Ni 0.082 0.582 0.582
Ni 0.333 0.333 0.333
Ni 0.418 0.418 0.918
Ni 0.418 0.918 0.418
Ni 0.582 0.082 0.582
Ni 0.582 0.582 0.082
Ni 0.667 0.667 0.667
Ni 0.918 0.418 0.418

Results
crystal system = trigonal
formation enthalpy at 0 K = -0.368 eV per atom
E = -73.56 eV for the cell shown